# TbDy2Cu2Hg3Pd

A relaxed structure of TbDy2Cu2Hg3Pd (PBE, OQMD).

Energy of formation from the pure elements ... -446.6 meV per atom
Total magnetic moment ... 0.00 μB/atom
Final energy ... -31.35 eV/cell

Unit cell a=3.761 b=7.665 c=7.665 alpha=119.98 beta=90.00 gamma=90.00
Positions (direct):
Tb 0.000 0.000 0.000
Dy 0.000 0.219 0.609
Dy 0.000 0.609 0.219
Cu 0.500 0.276 0.942
Cu 0.500 0.942 0.276
Hg 0.500 0.329 0.329
Hg 0.500 0.609 0.890
Hg 0.500 0.890 0.609
Pd 0.000 0.609 0.609